# 1
DFT (PBE-GGA) results for a geometry-optimized ScCoBi2 structure.

Calculated values
ΔE to the lowest computed polymorph, eV/f.u.: 0.000
Magnetic moment, μB/cell: 0.0
Energy relative to the elements, meV/atom: 67
Crystal system: tetragonal

a b c (Å): 7.822 7.822 6.143
angles (deg): 90.00 90.00 90.00
Space group I-42d (No. 122)
One atom of each set of equivalent atoms:
Sc 0.000 0.000 0.000 (multiplicity 4)
Co 0.000 0.000 0.500 (multiplicity 4)
Bi 0.194 0.750 0.625 (multiplicity 8)

---

# 2
DFT (PBE-GGA) results for a geometry-optimized CeCdHg structure.

Calculated values
Magnetic moment, μB/cell: 1.9
Energy relative to the elements, meV/atom: -201
Crystal system: tetragonal

a b c (Å): 3.464 3.464 12.683
angles (deg): 90.00 90.00 90.00
Space group I4mm (No. 107)
One atom of each set of equivalent atoms:
Ce 0.000 0.000 0.000 (multiplicity 2)
Cd 0.000 0.000 0.681 (multiplicity 2)
Hg 0.000 0.000 0.328 (multiplicity 2)

---

# 3
DFT (PBE-GGA) results for a geometry-optimized LiMg6In2 structure.

Calculated values
ΔE to the lowest computed polymorph, eV/f.u.: 0.000
Magnetic moment, μB/cell: 0.0
Energy relative to the elements, meV/atom: -90
Crystal system: tetragonal

a b c (Å): 9.516 9.516 4.433
angles (deg): 90.00 90.00 90.00
Space group P4_2/mnm (No. 136)
One atom of each set of equivalent atoms:
Li 0.000 0.000 0.000 (multiplicity 2)
Mg 0.001 0.332 0.000 (multiplicity 8)
Mg 0.164 0.164 0.500 (multiplicity 4)
In 0.165 0.835 0.500 (multiplicity 4)

---

# 4
DFT (PBE-GGA) results for a geometry-optimized HoCuPtPb structure.

Calculated values
Magnetic moment, μB/cell: 0.0
Energy relative to the elements, meV/atom: -495
Crystal system: cubic

a b c (Å): 6.864 6.864 6.864
angles (deg): 90.00 90.00 90.00
Space group F-43m (No. 216)
One atom of each set of equivalent atoms:
Ho 0.000 0.000 0.000 (multiplicity 4)
Cu 0.250 0.250 0.750 (multiplicity 4)
Pt 0.250 0.250 0.250 (multiplicity 4)
Pb 0.000 0.000 0.500 (multiplicity 4)

---

# 5
DFT (PBE-GGA) results for a geometry-optimized YTeHI2 structure.

Calculated values
ΔE to the lowest computed polymorph, eV/f.u.: 0.747
Magnetic moment, μB/cell: 0.0
Crystal system: tetragonal

a b c (Å): 5.721 5.721 3.979
angles (deg): 90.00 90.00 90.00
Space group P4/mmm (No. 123)
One atom of each set of equivalent atoms:
Y 0.000 0.000 0.000 (multiplicity 1)
Te 0.500 0.500 0.000 (multiplicity 1)
H 0.500 0.500 0.500 (multiplicity 1)
I 0.000 0.500 0.500 (multiplicity 2)

---

# 6
DFT (PBE-GGA) results for a geometry-optimized HfMnZnNi structure.

Calculated values
Magnetic moment, μB/cell: 12.6
Energy relative to the elements, meV/atom: -104
Crystal system: cubic

a b c (Å): 6.167 6.167 6.167
angles (deg): 90.00 90.00 90.00
Space group F-43m (No. 216)
One atom of each set of equivalent atoms:
Hf 0.000 0.000 0.000 (multiplicity 4)
Mn 0.250 0.250 0.250 (multiplicity 4)
Zn 0.000 0.000 0.500 (multiplicity 4)
Ni 0.250 0.250 0.750 (multiplicity 4)